Si2Sn2I | PBE-GGA | optimized geometry

As for the density of states at the Fermi level: 1.4 states/eV/cell. The energy relative to the elements, uncorrected is 14 kJ per mole of atoms. The energy above the lowest structure with this stoichiometry comes out at 0.00 eV/f.u.

The structure in extended XYZ format:
```
5
Lattice="5.087 0.000 0.000 0.000 5.087 0.000 2.544 2.544 4.823" Properties=species:S:1:pos:R:3 pbc="T T T"
Si 2.544 2.544 1.200
Sn 5.087 2.544 2.412
Sn 2.544 5.087 2.412
Si 5.087 5.087 3.624
I 0.000 0.000 0.000
```